1.
GeAs2C (PBE, relaxed); formation energy = 1496 meV per atom; ΔE to the lowest computed polymorph = 2.95 eV per formula unit
1.0
6.324 0.000 0.000
0.000 6.324 0.000
0.000 0.000 6.324
Ge As C
4 8 4
Direct
0.000 0.000 0.000
0.000 0.500 0.500
0.500 0.000 0.500
0.500 0.500 0.000
0.250 0.250 0.250
0.250 0.250 0.750
0.250 0.750 0.250
0.250 0.750 0.750
0.750 0.250 0.250
0.750 0.250 0.750
0.750 0.750 0.250
0.750 0.750 0.750
0.000 0.000 0.500
0.000 0.500 0.000
0.500 0.000 0.000
0.500 0.500 0.500



2.
NaMg3Zn8 (PBE, relaxed); formation energy = -101 meV per atom
1.0
5.273 0.000 0.000
-2.637 4.567 0.000
0.000 0.000 8.516
Na Mg Zn
1 3 8
Direct
0.000 0.000 0.000
0.000 0.000 0.376
0.667 0.333 0.500
0.667 0.333 0.876
0.163 0.327 0.685
0.163 0.837 0.685
0.333 0.667 0.438
0.333 0.667 0.938
0.504 0.007 0.191
0.504 0.496 0.191
0.673 0.837 0.685
0.993 0.496 0.191



3.
Sb2CIF (PBE, relaxed); ΔE to the lowest computed polymorph = 0.00 eV per formula unit; raw formation energy = 0.69 eV/atom
1.0
4.728 0.000 0.000
0.000 4.728 0.000
0.000 0.000 5.028
Sb C I F
2 1 1 1
Direct
0.000 0.500 0.000
0.500 0.000 0.000
0.000 0.000 0.000
0.000 0.000 0.500
0.500 0.500 0.500



4.
CsTl3Te3 (PBE, relaxed); ΔE to the lowest computed polymorph = 0.00 eV per formula unit; raw formation energy = -0.38 eV/atom
1.0
4.719 2.725 8.699
-4.719 2.725 8.699
0.000 -5.449 8.699
Cs Tl Te
2 6 6
Direct
0.167 0.167 0.167
0.833 0.833 0.833
0.058 0.378 0.707
0.293 0.942 0.622
0.378 0.707 0.058
0.622 0.293 0.942
0.707 0.058 0.378
0.942 0.622 0.293
0.062 0.749 0.407
0.251 0.593 0.938
0.407 0.062 0.749
0.593 0.938 0.251
0.749 0.407 0.062
0.938 0.251 0.593



5.
PrNd2Sb (PBE, relaxed); ΔE to the lowest computed polymorph = 0.00 eV per formula unit; raw formation energy = -0.58 eV/atom
1.0
4.691 0.000 0.000
0.000 23.797 0.000
0.000 0.000 4.669
Pr Nd Sb
4 8 4
Direct
0.000 0.196 0.250
0.000 0.804 0.750
0.500 0.304 0.750
0.500 0.696 0.250
0.000 0.067 0.750
0.000 0.440 0.750
0.000 0.560 0.250
0.000 0.933 0.250
0.500 0.060 0.250
0.500 0.433 0.250
0.500 0.567 0.750
0.500 0.940 0.750
0.000 0.332 0.250
0.000 0.668 0.750
0.500 0.168 0.750
0.500 0.832 0.250



6.
ZrAlPt2 (PBE, relaxed); formation energy = -886 meV per atom
1.0
3.554 0.000 0.000
0.000 3.554 0.000
0.000 0.000 5.627
Zr Al Pt
1 1 2
Direct
0.000 0.000 0.000
0.500 0.500 0.343
0.000 0.000 0.480
0.500 0.500 0.810



7.
SrLi12Ag6 (PBE, relaxed); formation energy = -99 meV per atom
1.0
5.903 3.408 3.163
-5.903 3.408 3.163
0.000 -6.816 3.163
Sr Li Ag
1 12 6
Direct
0.000 0.000 0.000
0.113 0.500 0.887
0.113 0.887 0.500
0.159 0.429 0.429
0.429 0.159 0.429
0.429 0.429 0.159
0.500 0.113 0.887
0.500 0.887 0.113
0.571 0.571 0.841
0.571 0.841 0.571
0.841 0.571 0.571
0.887 0.113 0.500
0.887 0.500 0.113
0.260 0.260 0.712
0.260 0.712 0.260
0.288 0.740 0.740
0.712 0.260 0.260
0.740 0.288 0.740
0.740 0.740 0.288



8.
CoAs2Pt (PBE, relaxed); formation energy = 3 meV per atom; ΔE to the lowest computed polymorph = 1.07 eV per formula unit
1.0
2.873 0.000 0.000
0.000 2.908 0.000
0.000 0.000 7.459
Co As Pt
1 2 1
Direct
0.000 0.000 0.000
0.500 0.500 0.207
0.500 0.500 0.793
0.000 0.500 0.500